No. 1
Compound: Ac8Sn5I
Source: the Alexandria database
Functional: PBE-GGA
Structure: optimized geometry

Cell lengths 8.818, 8.818, 8.818 Å; angles 109.53, 109.53, 109.35 degrees
Element x y z (fractional)
Ac: 0.008 0.620 0.758
Ac: 0.229 0.477 0.098
Ac: 0.378 0.131 0.902
Ac: 0.380 0.138 0.388
Ac: 0.523 0.622 0.753
Ac: 0.750 0.992 0.612
Ac: 0.862 0.250 0.242
Ac: 0.869 0.771 0.247
Sn: 0.000 0.000 0.000
Sn: 0.131 0.251 0.623
Sn: 0.492 0.869 0.120
Sn: 0.628 0.508 0.377
Sn: 0.749 0.372 0.880
I: 0.250 0.750 0.500

The raw total energy is -4.590 eV per atom. The density of states at the Fermi level is 14.603 states/eV/f.u. As for the uncorrected formation energy: -0.702 eV per atom.

No. 2
Compound: Ac4Sn2I3
Source: the Alexandria database
Functional: PBE-GGA
Structure: optimized geometry

Cell lengths 4.859, 4.859, 19.426 Å; angles 90.00, 90.00, 120.00 degrees
Element x y z (fractional)
Ac: 0.000 0.000 0.204
Ac: 0.000 0.000 0.796
Ac: 0.333 0.667 0.388
Ac: 0.667 0.333 0.612
Sn: 0.333 0.667 0.701
Sn: 0.667 0.333 0.299
I: 0.000 0.000 0.500
I: 0.333 0.667 0.101
I: 0.667 0.333 0.899

The raw total energy is -4.301 eV per atom. The density of states at the Fermi level is 3.484 states/eV/f.u. The value obtained for the relative energy among the computed polymorphs is 0 meV/atom. As for the uncorrected formation energy: -1.069 eV per atom.

No. 3
Compound: Ac12Sn5I2
Source: the Alexandria database
Functional: PBE-GGA
Structure: optimized geometry

Cell lengths 10.433, 10.433, 10.396 Å; angles 102.49, 102.49, 48.40 degrees
Element x y z (fractional)
Ac: 0.008 0.008 0.288
Ac: 0.085 0.567 0.897
Ac: 0.106 0.601 0.434
Ac: 0.399 0.894 0.566
Ac: 0.433 0.915 0.103
Ac: 0.492 0.492 0.192
Ac: 0.508 0.508 0.808
Ac: 0.567 0.085 0.897
Ac: 0.601 0.106 0.434
Ac: 0.894 0.399 0.566
Ac: 0.915 0.433 0.103
Ac: 0.992 0.992 0.712
Sn: 0.176 0.176 0.841
Sn: 0.202 0.202 0.356
Sn: 0.500 0.500 0.500
Sn: 0.798 0.798 0.644
Sn: 0.824 0.824 0.159
I: 0.200 0.800 0.000
I: 0.800 0.200 0.000

The raw total energy is -4.249 eV per atom. The density of states at the Fermi level is 23.578 states/eV/f.u. As for the uncorrected formation energy: -0.438 eV per atom.

No. 4
Compound: Ac3SnI3
Source: the Alexandria database
Functional: PBE-GGA
Structure: optimized geometry

Cell lengths 11.670, 11.670, 11.670 Å; angles 109.47, 109.47, 109.47 degrees
Element x y z (fractional)
Ac: 0.010 0.019 0.260
Ac: 0.010 0.490 0.750
Ac: 0.019 0.260 0.010
Ac: 0.240 0.260 0.750
Ac: 0.240 0.481 0.490
Ac: 0.260 0.010 0.019
Ac: 0.260 0.750 0.240
Ac: 0.481 0.490 0.240
Ac: 0.490 0.240 0.481
Ac: 0.490 0.750 0.010
Ac: 0.750 0.010 0.490
Ac: 0.750 0.240 0.260
Sn: 0.000 0.250 0.500
Sn: 0.250 0.250 0.250
Sn: 0.250 0.500 0.000
Sn: 0.500 0.000 0.250
I: 0.250 0.756 0.744
I: 0.250 0.994 0.506
I: 0.506 0.250 0.994
I: 0.506 0.756 0.511
I: 0.511 0.506 0.756
I: 0.744 0.250 0.756
I: 0.744 0.994 0.989
I: 0.756 0.511 0.506
I: 0.756 0.744 0.250
I: 0.989 0.744 0.994
I: 0.994 0.506 0.250
I: 0.994 0.989 0.744

The raw total energy is -4.148 eV per atom. The density of states at the Fermi level is 2.685 states/eV/f.u. The value obtained for the relative energy among the computed polymorphs is 0 meV/atom. As for the uncorrected formation energy: -1.151 eV per atom.

No. 5
Compound: Ac3Sn2I
Source: the Alexandria database
Functional: PBE-GGA
Structure: optimized geometry

Cell lengths 3.971, 3.971, 13.312 Å; angles 90.00, 90.00, 90.00 degrees
Element x y z (fractional)
Ac: 0.000 0.000 0.000
Ac: 0.000 0.000 0.320
Ac: 0.000 0.000 0.680
Sn: 0.500 0.500 0.166
Sn: 0.500 0.500 0.834
I: 0.500 0.500 0.500

The raw total energy is -4.377 eV per atom. The density of states at the Fermi level is 5.260 states/eV/f.u. As for the uncorrected formation energy: -0.730 eV per atom.

No. 6
Compound: Ac3Sn2I3
Source: the Alexandria database
Functional: PBE-GGA
Structure: optimized geometry

Cell lengths 10.069, 10.069, 6.598 Å; angles 90.00, 90.00, 120.00 degrees
Element x y z (fractional)
Ac: 0.000 0.385 0.250
Ac: 0.000 0.615 0.750
Ac: 0.385 0.000 0.250
Ac: 0.385 0.385 0.750
Ac: 0.615 0.000 0.750
Ac: 0.615 0.615 0.250
Sn: 0.333 0.667 0.000
Sn: 0.333 0.667 0.500
Sn: 0.667 0.333 0.000
Sn: 0.667 0.333 0.500
I: 0.000 0.248 0.750
I: 0.000 0.752 0.250
I: 0.248 0.000 0.750
I: 0.248 0.248 0.250
I: 0.752 0.000 0.250
I: 0.752 0.752 0.750

The raw total energy is -4.215 eV per atom. As for the uncorrected formation energy: -1.092 eV per atom.

No. 7
Compound: Ac6Sn3I
Source: the Alexandria database
Functional: PBE-GGA
Structure: optimized geometry

Cell lengths 10.330, 10.330, 8.119 Å; angles 90.00, 90.00, 101.83 degrees
Element x y z (fractional)
Ac: 0.000 0.000 0.000
Ac: 0.000 0.000 0.500
Ac: 0.095 0.543 0.026
Ac: 0.255 0.745 0.629
Ac: 0.283 0.366 0.601
Ac: 0.366 0.283 0.101
Ac: 0.457 0.905 0.026
Ac: 0.543 0.095 0.526
Ac: 0.634 0.717 0.601
Ac: 0.717 0.634 0.101
Ac: 0.745 0.255 0.129
Ac: 0.905 0.457 0.526
Sn: 0.066 0.275 0.270
Sn: 0.275 0.066 0.770
Sn: 0.415 0.585 0.906
Sn: 0.585 0.415 0.406
Sn: 0.725 0.934 0.270
Sn: 0.934 0.725 0.770
I: 0.169 0.831 0.245
I: 0.831 0.169 0.745

The raw total energy is -4.348 eV per atom. The density of states at the Fermi level is 11.181 states/eV/f.u. As for the uncorrected formation energy: -0.527 eV per atom.

No. 8
Compound: AcSnI2
Source: the Alexandria database
Functional: PBE-GGA
Structure: optimized geometry

Cell lengths 11.637, 11.637, 11.637 Å; angles 19.98, 19.98, 19.98 degrees
Element x y z (fractional)
Ac: 0.000 0.000 0.000
Sn: 0.500 0.500 0.500
I: 0.405 0.405 0.405
I: 0.595 0.595 0.595

The raw total energy is -3.471 eV per atom. The density of states at the Fermi level is 1.721 states/eV/f.u. As for the uncorrected formation energy: -0.668 eV per atom.

No. 9
Compound: Ac2SnI
Source: the Alexandria database
Functional: PBE-GGA
Structure: optimized geometry

Cell lengths 5.834, 5.834, 5.834 Å; angles 60.00, 60.00, 60.00 degrees
Element x y z (fractional)
Ac: 0.250 0.250 0.250
Ac: 0.750 0.750 0.750
Sn: 0.000 0.000 0.000
I: 0.500 0.500 0.500

The raw total energy is -4.279 eV per atom. The density of states at the Fermi level is 3.478 states/eV/f.u. The value obtained for the relative energy among the computed polymorphs is 36 meV/atom. As for the uncorrected formation energy: -0.836 eV per atom.

No. 10
Compound: Ac2SnI
Source: the Alexandria database
Functional: PBE-GGA
Structure: optimized geometry

Cell lengths 4.032, 4.032, 8.687 Å; angles 90.00, 90.00, 90.00 degrees
Element x y z (fractional)
Ac: 0.000 0.000 0.230
Ac: 0.000 0.000 0.770
Sn: 0.500 0.500 0.000
I: 0.500 0.500 0.500

The raw total energy is -4.236 eV per atom. The density of states at the Fermi level is 3.653 states/eV/f.u. The value obtained for the relative energy among the computed polymorphs is 78 meV/atom. As for the uncorrected formation energy: -0.794 eV per atom.

No. 11
Compound: Ac4SnI4
Source: the Alexandria database
Functional: PBE-GGA
Structure: optimized geometry

Cell lengths 8.652, 8.652, 8.652 Å; angles 125.38, 125.38, 80.92 degrees
Element x y z (fractional)
Ac: 0.043 0.635 0.000
Ac: 0.365 0.365 0.408
Ac: 0.635 0.043 0.000
Ac: 0.957 0.957 0.592
Sn: 0.000 0.000 0.000
I: 0.000 0.500 0.500
I: 0.355 0.355 0.000
I: 0.500 0.000 0.500
I: 0.645 0.645 0.000

The raw total energy is -3.642 eV per atom. The density of states at the Fermi level is 7.121 states/eV/f.u. As for the uncorrected formation energy: -0.683 eV per atom.

No. 12
Compound: Ac2SnI
Source: the Alexandria database
Functional: PBE-GGA
Structure: optimized geometry

Cell lengths 8.826, 8.826, 8.826 Å; angles 31.33, 31.33, 31.33 degrees
Element x y z (fractional)
Ac: 0.000 0.000 0.000
Ac: 0.193 0.193 0.193
Sn: 0.597 0.597 0.597
I: 0.428 0.428 0.428

The raw total energy is -4.314 eV per atom. The density of states at the Fermi level is 3.027 states/eV/f.u. The value obtained for the relative energy among the computed polymorphs is 0 meV/atom. As for the uncorrected formation energy: -0.872 eV per atom.

No. 13
Compound: Ac4SnI5
Source: the Alexandria database
Functional: PBE-GGA
Structure: optimized geometry

Cell lengths 10.554, 10.554, 9.721 Å; angles 101.28, 101.28, 25.57 degrees
Element x y z (fractional)
Ac: 0.001 0.001 0.229
Ac: 0.342 0.342 0.930
Ac: 0.658 0.658 0.070
Ac: 0.999 0.999 0.771
Sn: 0.500 0.500 0.000
I: 0.169 0.169 0.326
I: 0.170 0.170 0.818
I: 0.500 0.500 0.500
I: 0.830 0.830 0.182
I: 0.831 0.831 0.674

The raw total energy is -4.020 eV per atom. The density of states at the Fermi level is 4.743 states/eV/f.u. As for the uncorrected formation energy: -1.201 eV per atom.

No. 14
Compound: Ac4Sn2I3
Source: the Alexandria database
Functional: PBE-GGA
Structure: optimized geometry

Cell lengths 10.905, 10.905, 6.607 Å; angles 96.40, 96.40, 65.75 degrees
Element x y z (fractional)
Ac: 0.088 0.728 0.990
Ac: 0.207 0.449 0.411
Ac: 0.272 0.912 0.510
Ac: 0.449 0.207 0.911
Ac: 0.551 0.793 0.089
Ac: 0.728 0.088 0.490
Ac: 0.793 0.551 0.589
Ac: 0.912 0.272 0.010
Sn: 0.118 0.413 0.874
Sn: 0.413 0.118 0.374
Sn: 0.587 0.882 0.626
Sn: 0.882 0.587 0.126
I: 0.020 0.802 0.499
I: 0.198 0.980 0.001
I: 0.393 0.607 0.750
I: 0.607 0.393 0.250
I: 0.802 0.020 0.999
I: 0.980 0.198 0.501

The raw total energy is -4.054 eV per atom. The density of states at the Fermi level is 6.529 states/eV/f.u. The value obtained for the relative energy among the computed polymorphs is 247 meV/atom. As for the uncorrected formation energy: -0.822 eV per atom.

No. 15
Compound: Ac3SnI3
Source: the Alexandria database
Functional: PBE-GGA
Structure: optimized geometry

Cell lengths 6.716, 6.716, 6.716 Å; angles 90.00, 90.00, 90.00 degrees
Element x y z (fractional)
Ac: 0.000 0.000 0.500
Ac: 0.000 0.500 0.000
Ac: 0.500 0.000 0.000
Sn: 0.000 0.000 0.000
I: 0.000 0.500 0.500
I: 0.500 0.000 0.500
I: 0.500 0.500 0.000

The raw total energy is -4.080 eV per atom. The density of states at the Fermi level is 2.793 states/eV/f.u. The value obtained for the relative energy among the computed polymorphs is 68 meV/atom. As for the uncorrected formation energy: -1.083 eV per atom.

No. 16
Compound: Ac7SnI12
Source: the Alexandria database
Functional: PBE-GGA
Structure: optimized geometry

Cell lengths 10.576, 10.576, 10.576 Å; angles 108.43, 108.43, 108.43 degrees
Element x y z (fractional)
Ac: 0.000 0.000 0.000
Ac: 0.163 0.453 0.381
Ac: 0.381 0.163 0.453
Ac: 0.453 0.381 0.163
Ac: 0.547 0.619 0.837
Ac: 0.619 0.837 0.547
Ac: 0.837 0.547 0.619
Sn: 0.500 0.500 0.500
I: 0.019 0.101 0.342
I: 0.101 0.342 0.019
I: 0.194 0.578 0.730
I: 0.270 0.806 0.422
I: 0.342 0.019 0.101
I: 0.422 0.270 0.806
I: 0.578 0.730 0.194
I: 0.658 0.981 0.899
I: 0.730 0.194 0.578
I: 0.806 0.422 0.270
I: 0.899 0.658 0.981
I: 0.981 0.899 0.658

The raw total energy is -3.882 eV per atom. The density of states at the Fermi level is 11.407 states/eV/f.u. As for the uncorrected formation energy: -1.314 eV per atom.

No. 17
Compound: Ac2SnI
Source: the Alexandria database
Functional: PBE-GGA
Structure: optimized geometry

Cell lengths 10.362, 10.362, 10.362 Å; angles 27.54, 27.54, 27.54 degrees
Element x y z (fractional)
Ac: 0.110 0.110 0.110
Ac: 0.890 0.890 0.890
Sn: 0.500 0.500 0.500
I: 0.000 0.000 0.000

The raw total energy is -4.151 eV per atom. The density of states at the Fermi level is 3.125 states/eV/f.u. The value obtained for the relative energy among the computed polymorphs is 163 meV/atom. As for the uncorrected formation energy: -0.709 eV per atom.

No. 18
Compound: Ac6SnI8
Source: the Alexandria database
Functional: PBE-GGA
Structure: optimized geometry

Cell lengths 12.996, 12.996, 12.996 Å; angles 35.97, 35.97, 35.97 degrees
Element x y z (fractional)
Ac: 0.053 0.383 0.722
Ac: 0.278 0.947 0.617
Ac: 0.383 0.722 0.053
Ac: 0.617 0.278 0.947
Ac: 0.722 0.053 0.383
Ac: 0.947 0.617 0.278
Sn: 0.000 0.000 0.000
I: 0.111 0.782 0.441
I: 0.218 0.559 0.889
I: 0.333 0.333 0.333
I: 0.441 0.111 0.782
I: 0.559 0.889 0.218
I: 0.667 0.667 0.667
I: 0.782 0.441 0.111
I: 0.889 0.218 0.559

The raw total energy is -3.910 eV per atom. The density of states at the Fermi level is 8.311 states/eV/f.u. As for the uncorrected formation energy: -1.173 eV per atom.

No. 19
Compound: Ac5Sn2I2
Source: the Alexandria database
Functional: PBE-GGA
Structure: optimized geometry

Cell lengths 11.641, 11.641, 11.641 Å; angles 63.06, 139.67, 133.68 degrees
Element x y z (fractional)
Ac: 0.110 0.034 0.576
Ac: 0.177 0.075 0.253
Ac: 0.177 0.425 0.602
Ac: 0.458 0.534 0.424
Ac: 0.511 0.801 0.021
Ac: 0.511 0.990 0.209
Ac: 0.781 0.301 0.791
Ac: 0.781 0.490 0.979
Ac: 0.823 0.575 0.398
Ac: 0.823 0.925 0.747
Sn: 0.013 0.708 0.805
Sn: 0.707 0.207 0.500
Sn: 0.707 0.707 0.000
Sn: 0.902 0.208 0.195
I: 0.283 0.406 0.070
I: 0.283 0.713 0.377
I: 0.336 0.213 0.930
I: 0.336 0.906 0.623

The raw total energy is -4.175 eV per atom. The density of states at the Fermi level is 9.792 states/eV/f.u. As for the uncorrected formation energy: -0.659 eV per atom.

No. 20
Compound: Ac2SnI
Source: the Alexandria database
Functional: PBE-GGA
Structure: optimized geometry

Cell lengths 4.831, 8.277, 8.260 Å; angles 90.00, 90.00, 90.00 degrees
Element x y z (fractional)
Ac: 0.250 0.004 0.220
Ac: 0.250 0.496 0.220
Ac: 0.750 0.504 0.780
Ac: 0.750 0.996 0.780
Sn: 0.250 0.750 0.904
Sn: 0.750 0.250 0.096
I: 0.250 0.250 0.579
I: 0.750 0.750 0.421

The raw total energy is -4.269 eV per atom. The density of states at the Fermi level is 2.112 states/eV/f.u. The value obtained for the relative energy among the computed polymorphs is 46 meV/atom. As for the uncorrected formation energy: -0.826 eV per atom.

No. 21
Compound: Ac4TlSnI2
Source: the Alexandria database
Functional: PBE-GGA
Structure: optimized geometry

Cell lengths 8.208, 4.930, 8.522 Å; angles 90.00, 110.37, 90.00 degrees
Element x y z (fractional)
Ac: 0.220 0.000 0.238
Ac: 0.221 0.500 0.742
Ac: 0.779 0.500 0.258
Ac: 0.780 0.000 0.762
Tl: 0.000 0.500 0.000
Sn: 0.000 0.000 0.500
I: 0.500 0.000 0.000
I: 0.500 0.500 0.500

The raw total energy is -4.023 eV per atom. The density of states at the Fermi level is 3.590 states/eV/f.u. As for the uncorrected formation energy: -0.785 eV per atom.